[1]
Here is a crystal of MgTa2Cr relaxed with PBEsol from the Alexandria database. Energies are from SCAN.

Values from the calculation:
SG: No. 47
Magnetization: 0.009 μB/atom
E_tot: -154.72 eV per cell
Density of states at the Fermi level: 3.5 states/eV/cell
Energy of formation: 0.451 eV/atom
Crystal system: orthorhombic

Lattice parameters (Å, degrees): 2.6925 4.2331 5.7408 90.00 90.00 90.00
Closest atoms and distances in Å follow each position.
Fractional positions:
1 Mg 0.0000 0.0000 0.0000  2 Mg 2.69, 2 Cr 2.87, 8 Ta 2.93
2 Ta 0.5000 0.5000 0.2642  3 Ta 2.69-2.71, 4 Cr 2.85, 4 Mg 2.93
3 Ta 0.5000 0.5000 0.7358  3 Ta 2.69-2.71, 4 Cr 2.85, 4 Mg 2.93
4 Cr 0.0000 0.0000 0.5000  2 Cr 2.69, 8 Ta 2.85, 2 Mg 2.87

***

[2]
Here is a crystal of MgTa2Cr relaxed with PBEsol from the Alexandria database. Energies are from SCAN.

Values from the calculation:
SG: No. 139
Magnetization: 0.702 μB/atom
E_tot: -155.08 eV per cell
Density of states at the Fermi level: 3.3 states/eV/cell
Energy of formation: 0.361 eV/atom
Crystal system: tetragonal

Lattice parameters (Å, degrees): 5.0728 5.0728 5.0728 133.83 133.83 67.35
Closest atoms and distances in Å follow each position.
Fractional positions:
1 Mg 0.0000 0.0000 0.0000  4 Cr 2.81, 8 Ta 2.90
2 Ta 0.2500 0.7500 0.5000  4 Ta 2.81, 4 Cr 2.90, 4 Mg 2.90
3 Ta 0.7500 0.2500 0.5000  4 Ta 2.81, 4 Cr 2.90, 4 Mg 2.90
4 Cr 0.5000 0.5000 0.0000  4 Mg 2.81, 8 Ta 2.90

***

[3]
Here is a crystal of MgTaCr2 relaxed with PBEsol from the Alexandria database. Energies are from SCAN.

Values from the calculation:
SG: No. 12
Magnetization: 0.000 μB/atom
E_tot: -106.29 eV per cell
Density of states at the Fermi level: 3.2 states/eV/cell
Energy of formation: 0.509 eV/atom
Crystal system: monoclinic

Lattice parameters (Å, degrees): 5.0886 5.0886 2.5857 99.71 99.71 115.13
Closest atoms and distances in Å follow each position.
Fractional positions:
1 Mg 0.0000 0.0000 0.0000  2 Mg 2.59, 4 Cr 2.65, 2 Ta 2.73
2 Ta 0.5000 0.5000 0.0000  2 Ta 2.59, 4 Cr 2.65, 2 Mg 2.73
3 Cr 0.0000 0.5000 0.5000  4 Cr 2.59-2.73, 2 Ta 2.65, 2 Mg 2.65
4 Cr 0.5000 0.0000 0.5000  4 Cr 2.59-2.73, 2 Ta 2.65, 2 Mg 2.65

***

[4]
Here is a crystal of MgCrTc2 relaxed with PBEsol from the Alexandria database. Energies are from SCAN.

Values from the calculation:
SG: No. 47
Magnetization: 0.592 μB/atom
E_tot: -92.70 eV per cell
Density of states at the Fermi level: 2.7 states/eV/cell
Energy of formation: 0.194 eV/atom
Crystal system: orthorhombic

Lattice parameters (Å, degrees): 3.0891 4.2730 4.2752 90.00 90.00 90.00
Closest atoms and distances in Å follow each position.
Fractional positions:
1 Mg 0.0000 0.0000 0.0000  4 Tc 2.64, 4 Cr 2.64
2 Cr 0.5000 0.0000 0.5000  4 Tc 2.64, 4 Mg 2.64
3 Tc 0.0000 0.5000 0.5000  4 Cr 2.64, 4 Tc 2.64
4 Tc 0.5000 0.5000 0.0000  4 Mg 2.64, 4 Tc 2.64

***

[5]
Here is a crystal of MgCrTc2 relaxed with PBEsol from the Alexandria database. Energies are from SCAN.

Values from the calculation:
SG: No. 166
Magnetization: 0.000 μB/atom
E_tot: -92.59 eV per cell
Density of states at the Fermi level: 3.5 states/eV/cell
Energy of formation: 0.222 eV/atom
Crystal system: trigonal

Lattice parameters (Å, degrees): 8.8957 8.8957 8.8957 17.71 17.71 17.71
Closest atoms and distances in Å follow each position.
Fractional positions:
1 Mg 0.0000 0.0000 0.0000  6 Mg 2.74, 6 Tc 2.88
2 Cr 0.5000 0.5000 0.5000  6 Tc 2.53, 6 Cr 2.74
3 Tc 0.2417 0.2417 0.2417  3 Cr 2.53, 6 Tc 2.74
4 Tc 0.7583 0.7583 0.7583  3 Cr 2.53, 6 Tc 2.74

***

[6]
Here is a crystal of Mg2CrTc relaxed with PBEsol from the Alexandria database. Energies are from SCAN.

Values from the calculation:
SG: No. 47
Magnetization: 0.301 μB/atom
E_tot: -62.27 eV per cell
Polymorph energy (0 for the lowest one): 0.0 meV/atom
Density of states at the Fermi level: 2.1 states/eV/cell
Energy of formation: 0.280 eV/atom
Crystal system: orthorhombic

Lattice parameters (Å, degrees): 3.2425 4.0865 4.5228 90.00 90.00 90.00
Closest atoms and distances in Å follow each position.
Fractional positions:
1 Mg 0.0000 0.0000 0.0000  4 Mg 2.61, 4 Tc 2.78
2 Mg 0.5000 0.5000 0.0000  4 Mg 2.61, 4 Cr 2.78
3 Cr 0.0000 0.5000 0.5000  4 Tc 2.61, 4 Mg 2.78
4 Tc 0.5000 0.0000 0.5000  4 Cr 2.61, 4 Mg 2.78

***

[7]
Here is a crystal of Mg2CrTc relaxed with PBEsol from the Alexandria database. Energies are from SCAN.

Values from the calculation:
SG: No. 123
Magnetization: 0.001 μB/atom
E_tot: -61.55 eV per cell
Polymorph energy (0 for the lowest one): 181.8 meV/atom
Density of states at the Fermi level: 3.1 states/eV/cell
Energy of formation: 0.461 eV/atom
Crystal system: tetragonal

Lattice parameters (Å, degrees): 2.6018 2.6018 8.8506 90.00 90.00 90.00
Closest atoms and distances in Å follow each position.
Fractional positions:
1 Mg 0.0000 0.0000 0.2454  4 Mg 2.60, 4 Cr 2.85, 4 Tc 2.91
2 Mg 0.0000 0.0000 0.7546  4 Mg 2.60, 4 Cr 2.85, 4 Tc 2.91
3 Cr 0.5000 0.5000 0.0000  4 Cr 2.60, 8 Mg 2.85
4 Tc 0.5000 0.5000 0.5000  4 Tc 2.60, 8 Mg 2.91

***

[8]
Here is a crystal of Mg2CrTc relaxed with PBEsol from the Alexandria database. Energies are from SCAN.

Values from the calculation:
SG: No. 225
Magnetization: 0.799 μB/atom
E_tot: -61.94 eV per cell
Polymorph energy (0 for the lowest one): 82.7 meV/atom
Density of states at the Fermi level: 6.0 states/eV/cell
Energy of formation: 0.362 eV/atom
Crystal system: cubic

Lattice parameters (Å, degrees): 4.5010 4.5010 4.5010 60.00 60.00 60.00
Closest atoms and distances in Å follow each position.
Fractional positions:
1 Mg 0.2500 0.2500 0.2500  4 Cr 2.76, 4 Tc 2.76
2 Mg 0.7500 0.7500 0.7500  4 Cr 2.76, 4 Tc 2.76
3 Cr 0.0000 0.0000 0.0000  8 Mg 2.76
4 Tc 0.5000 0.5000 0.5000  8 Mg 2.76

***

[9]
Here is a crystal of Mg4CrTc relaxed with PBEsol from the Alexandria database. Energies are from SCAN.

Values from the calculation:
SG: No. 216
Magnetization: 0.222 μB/atom
E_tot: -70.18 eV per cell
Density of states at the Fermi level: 5.7 states/eV/cell
Energy of formation: 0.527 eV/atom
Crystal system: cubic

Lattice parameters (Å, degrees): 5.3575 5.3575 5.3575 60.00 60.00 60.00
Closest atoms and distances in Å follow each position.
Fractional positions:
1 Mg 0.3756 0.3756 0.3756  6 Mg 2.67-2.69
2 Mg 0.3756 0.3756 0.8731  6 Mg 2.67-2.69
3 Mg 0.3756 0.8731 0.3756  6 Mg 2.67-2.69
4 Mg 0.8731 0.3756 0.3756  6 Mg 2.67-2.69
5 Cr 0.0000 0.0000 0.0000  12 Mg 3.14, 4 Tc 3.28
6 Tc 0.7500 0.7500 0.7500  12 Mg 3.14, 4 Cr 3.28

***

[10]
Here is a crystal of MgTiCr3 relaxed with PBEsol from the Alexandria database. Energies are from SCAN.

Values from the calculation:
SG: No. 221
Magnetization: 0.000 μB/atom
E_tot: -68.70 eV per cell
Density of states at the Fermi level: 4.9 states/eV/cell
Energy of formation: 1.492 eV/atom
Crystal system: cubic

Lattice parameters (Å, degrees): 4.2980 4.2980 4.2980 90.00 90.00 90.00
Closest atoms and distances in Å follow each position.
Fractional positions:
1 Mg 0.0000 0.0000 0.0000  12 Cr 3.04
2 Ti 0.5000 0.5000 0.5000  6 Cr 2.15
3 Cr 0.0000 0.5000 0.5000  2 Ti 2.15
4 Cr 0.5000 0.0000 0.5000  2 Ti 2.15
5 Cr 0.5000 0.5000 0.0000  2 Ti 2.15

***

[11]
Here is a crystal of Mg2CrW relaxed with PBEsol from the Alexandria database. Energies are from SCAN.

Values from the calculation:
SG: No. 8
Magnetization: 0.000 μB/atom
E_tot: -95.88 eV per cell
Density of states at the Fermi level: 1.3 states/eV/cell
Energy of formation: 0.534 eV/atom
Crystal system: monoclinic

Lattice parameters (Å, degrees): 4.6912 4.6912 5.3339 92.81 92.81 32.82
Closest atoms and distances in Å follow each position.
Fractional positions:
1 Mg 0.0000 0.0000 0.0000  5 Mg 2.65-2.91, 3 Cr 2.80-2.91, 2 W 2.84
2 Mg 0.2464 0.2464 0.7462  5 Mg 2.65-2.91, 3 W 2.77-2.91, 2 Cr 2.83
3 Cr 0.7447 0.7447 0.2772  1 W 2.48, 2 Cr 2.65
4 W 0.4999 0.4999 0.4719  1 Cr 2.48, 2 W 2.65, 1 Mg 2.77

***

[12]
Here is a crystal of MgCrW relaxed with PBEsol from the Alexandria database. Energies are from SCAN.

Values from the calculation:
SG: No. 107
Magnetization: 0.000 μB/atom
E_tot: -91.13 eV per cell
Polymorph energy (0 for the lowest one): 0.0 meV/atom
Density of states at the Fermi level: 2.0 states/eV/cell
Energy of formation: 0.638 eV/atom
Crystal system: tetragonal

Lattice parameters (Å, degrees): 6.9660 6.9660 6.9660 158.52 158.52 30.56
Closest atoms and distances in Å follow each position.
Fractional positions:
1 Mg 0.0000 0.0000 0.0000  4 Mg 2.60, 4 Cr 2.86
2 Cr 0.3371 0.3371 0.0000  4 Cr 2.60, 4 W 2.83, 4 Mg 2.86
3 W 0.6765 0.6765 0.0000  4 W 2.60, 4 Cr 2.83